No. 1
The following is a DFT calculation (PBE) of a geometry-optimized Ce2ErIr2 structure.

Structure (POSCAR):
```
Ce2ErIr2
1.0
1.961 -6.522 0.000
1.961 6.522 0.000
0.000 0.000 9.839
Ce Er Ir
4 2 4
Direct
0.097 0.903 0.500
0.360 0.640 0.673
0.640 0.360 0.173
0.903 0.097 0.000
0.350 0.650 0.308
0.650 0.350 0.808
0.001 0.999 0.751
0.252 0.748 0.014
0.748 0.252 0.514
0.999 0.001 0.251
```

Results
**SG**: Cmc2_1
**Total DFT energy (no corrections)**: -7.51 eV per atom



No. 2
The following is a DFT calculation (PBE) of a geometry-optimized Ti3PtN structure.

Structure (POSCAR):
```
Ti3PtN
1.0
0.000 5.403 5.403
5.403 0.000 5.403
5.403 5.403 0.000
Ti Pt N
12 4 4
Direct
0.071 0.071 0.679
0.071 0.679 0.071
0.071 0.679 0.679
0.321 0.321 0.929
0.321 0.929 0.321
0.321 0.929 0.929
0.679 0.071 0.071
0.679 0.071 0.679
0.679 0.679 0.071
0.929 0.321 0.321
0.929 0.321 0.929
0.929 0.929 0.321
0.000 0.500 0.500
0.500 0.000 0.500
0.500 0.500 0.000
0.500 0.500 0.500
0.000 0.000 0.000
0.000 0.000 0.500
0.000 0.500 0.000
0.500 0.000 0.000
```

Results
**SG**: Fd-3m
**Uncorrected formation energy**: -62.0 kJ/mol of atoms



No. 3
The following is a DFT calculation (PBE) of a geometry-optimized CaErMg4 structure.

Structure (POSCAR):
```
CaErMg4
1.0
0.000 4.313 4.313
4.313 0.000 4.313
4.313 4.313 0.000
Ca Er Mg
1 1 4
Direct
0.000 0.000 0.000
0.250 0.250 0.250
0.127 0.624 0.624
0.624 0.127 0.624
0.624 0.624 0.127
0.624 0.624 0.624
```

Results
**SG**: F-43m
**Total DFT energy (no corrections)**: -2.22 eV per atom



No. 4
The following is a DFT calculation (PBE) of a geometry-optimized CaY2PaP4 structure.

Structure (POSCAR):
```
CaY2PaP4
1.0
6.946 0.000 0.000
0.000 4.031 0.000
-2.282 0.000 6.564
Ca Y Pa P
1 2 1 4
Direct
0.000 0.000 0.000
0.000 0.500 0.500
0.500 0.000 0.500
0.500 0.500 0.000
0.258 0.000 0.753
0.262 0.500 0.249
0.738 0.500 0.751
0.742 0.000 0.247
```

Results
**SG**: P2/m
**Total DFT energy (no corrections)**: -7.20 eV per atom



No. 5
The following is a DFT calculation (PBE) of a geometry-optimized MoOs structure.

Structure (POSCAR):
```
MoOs
1.0
2.751 0.000 0.000
0.000 2.751 0.000
0.000 0.000 8.036
Mo Os
2 2
Direct
0.250 0.250 0.135
0.750 0.750 0.865
0.250 0.250 0.617
0.750 0.750 0.383
```

Results
**SG**: P4/nmm
**Total DFT energy (no corrections)**: -10.88 eV per atom



No. 6
The following is a DFT calculation (PBE) of a geometry-optimized Sr2PmPrSe4 structure.

Structure (POSCAR):
```
Sr2PmPrSe4
1.0
7.423 0.000 0.000
0.000 4.290 0.000
-2.479 0.000 7.186
Sr Pm Pr Se
2 1 1 4
Direct
0.000 0.000 0.000
0.500 0.500 0.000
0.000 0.500 0.500
0.500 0.000 0.500
0.244 0.000 0.740
0.250 0.500 0.258
0.750 0.500 0.742
0.756 0.000 0.260
```

Results
**SG**: P2/m
**Uncorrected formation energy**: -185.3 kJ/mol of atoms



No. 7
The following is a DFT calculation (PBE) of a geometry-optimized BeTlAs2 structure.

Structure (POSCAR):
```
BeTlAs2
1.0
0.000 3.426 3.426
3.426 0.000 3.426
3.426 3.426 0.000
Be Tl As
1 1 2
Direct
0.000 0.000 0.000
0.500 0.500 0.500
0.250 0.250 0.250
0.750 0.750 0.750
```

Results
**SG**: Fm-3m
**Excess energy over the best structure of this formula in the dataset**: 727.0 meV per atom



No. 8
The following is a DFT calculation (PBE) of a geometry-optimized TbAlO3 structure.

Structure (POSCAR):
```
TbAlO3
1.0
5.372 0.000 0.000
0.000 7.464 0.000
0.000 0.000 5.238
Tb Al O
4 4 12
Direct
0.051 0.250 0.012
0.449 0.750 0.512
0.551 0.250 0.488
0.949 0.750 0.988
0.000 0.000 0.500
0.000 0.500 0.500
0.500 0.000 0.000
0.500 0.500 0.000
0.021 0.750 0.416
0.208 0.544 0.792
0.208 0.956 0.792
0.292 0.044 0.292
0.292 0.456 0.292
0.479 0.250 0.916
0.521 0.750 0.084
0.708 0.544 0.708
0.708 0.956 0.708
0.792 0.044 0.208
0.792 0.456 0.208
0.979 0.250 0.584
```

Results
**SG**: Pnma
**Uncorrected formation energy**: -320.6 kJ/mol of atoms



No. 9
The following is a DFT calculation (PBE) of a geometry-optimized La2HoO structure.

Structure (POSCAR):
```
La2HoO
1.0
1.828 1.055 9.507
-1.828 1.055 9.507
0.000 -2.111 9.507
La Ho O
2 1 1
Direct
0.117 0.117 0.117
0.883 0.883 0.883
0.000 0.000 0.000
0.500 0.500 0.500
```

Results
**SG**: R-3m
**Uncorrected formation energy**: -111.7 kJ/mol of atoms



No. 10
The following is a DFT calculation (PBE) of a geometry-optimized IrPbO5 structure.

Structure (POSCAR):
```
IrPbO5
1.0
-1.896 3.327 4.227
1.896 -3.327 4.227
1.896 3.327 -4.227
Ir Pb O
1 1 5
Direct
0.000 0.000 0.000
0.500 0.500 0.000
0.000 0.500 0.500
0.217 0.217 0.000
0.297 0.000 0.297
0.703 0.000 0.703
0.783 0.783 0.000
```

Results
**SG**: Immm
**Uncorrected formation energy**: -51.5 kJ/mol of atoms



No. 11
The following is a DFT calculation (PBE) of a geometry-optimized LiCd3Pb12 structure.

Structure (POSCAR):
```
LiCd3Pb12
1.0
4.808 0.000 0.000
0.000 4.808 0.000
0.000 0.000 20.355
Li Cd Pb
1 3 12
Direct
0.000 0.000 0.000
0.000 0.000 0.249
0.000 0.000 0.500
0.000 0.000 0.751
0.000 0.500 0.121
0.000 0.500 0.374
0.000 0.500 0.626
0.000 0.500 0.879
0.500 0.000 0.121
0.500 0.000 0.374
0.500 0.000 0.626
0.500 0.000 0.879
0.500 0.500 0.000
0.500 0.500 0.247
0.500 0.500 0.500
0.500 0.500 0.753
```

Results
**SG**: P4/mmm
**Total DFT energy (no corrections)**: -3.07 eV per atom



No. 12
The following is a DFT calculation (PBE) of a geometry-optimized LiAg2Bi3Se6 structure.

Structure (POSCAR):
```
LiAg2Bi3Se6
1.0
8.985 -2.088 0.000
8.985 2.088 0.000
-1.659 0.000 8.019
Li Ag Bi Se
1 2 3 6
Direct
0.000 0.000 0.000
0.334 0.334 0.672
0.666 0.666 0.328
0.000 0.000 0.500
0.333 0.333 0.169
0.667 0.667 0.831
0.161 0.161 0.085
0.169 0.169 0.571
0.500 0.500 0.241
0.500 0.500 0.759
0.831 0.831 0.429
0.839 0.839 0.915
```

Results
**SG**: C2/m
**Uncorrected formation energy**: -40.4 kJ/mol of atoms



| no. | M_tot (μB per formula unit) |
| --- | --- |
| 1 | 0.9 |
| 2 | 0.0 |
| 3 | 0.0 |
| 4 | 0.0 |
| 5 | 0.0 |
| 6 | 0.0 |
| 7 | 0.0 |
| 8 | 0.0 |
| 9 | 0.0 |
| 10 | 0.9 |
| 11 | 0.0 |
| 12 | 0.0 |